# 1
Here is a relaxed Li2Ag2Hg crystal from Alexandria. Energies are from PBE-GGA.

Cell: 7.499 7.499 3.218 Å, 90.00 90.00 90.00°
Space group P4/mbm (No. 127)
One atom of each set of equivalent atoms:
Li  0.166  0.334  0.000 x4
Ag  0.132  0.632  0.500 x4
Hg  0.000  0.000  0.500 x2

Its distance to the lowest polymorph of the same formula is 71 meV/atom. Its density is 7.894 g/cm3. As for the energy of formation: -176 meV/atom. The value obtained for the total DFT energy (no corrections) is -2.142 eV per atom.

=====

# 2
Here is a relaxed LiAg4Hg2 crystal from Alexandria. Energies are from PBE-GGA.

Cell: 5.675 10.140 5.763 Å, 90.00 118.87 90.00°
Space group C2/m (No. 12)
One atom of each set of equivalent atoms:
Li  0.000  0.000  0.000 x2
Ag  0.000  0.300  0.000 x4
Ag  0.200  0.500  0.398 x4
Hg  0.000  0.250  0.500 x4

Its distance to the lowest polymorph of the same formula is 105 meV/atom. Its density is 9.602 g/cm3. As for the energy of formation: 42 meV/atom. The value obtained for the total DFT energy (no corrections) is -1.947 eV per atom.

=====

# 3
Here is a relaxed Li5Ag2Hg5 crystal from Alexandria. Energies are from PBE-GGA.

Cell: 8.067 4.688 13.145 Å, 90.00 102.42 90.00°
Space group C2/m (No. 12)
One atom of each set of equivalent atoms:
Li  0.000  0.000  0.000 x2
Li  0.194  0.000  0.581 x4
Li  0.227  0.500  0.175 x4
Ag  0.073  0.500  0.725 x4
Hg  0.000  0.500  0.500 x2
Hg  0.115  0.000  0.344 x4
Hg  0.145  0.500  0.941 x4

Its density is 8.574 g/cm3. As for the energy of formation: -219 meV/atom. The value obtained for the total DFT energy (no corrections) is -1.618 eV per atom.